# CaRe2Pb

Crystalline CaRe2Pb at its relaxed geometry (GGA-PBEsol, the Alexandria database).

Cell lengths 4.0073, 4.0073, 4.6050 Å; angles 90.00, 90.00, 90.00 degrees
Closest atoms and distances in Å follow each position.
Space group P4/mmm (No. 123)
Unique sites:
1 Ca 0.0000 0.0000 0.0000 [1 per cell]  4 Pb 2.83, 8 Re 3.05
2 Re 0.0000 0.5000 0.5000 [2 per cell]  4 Re 2.83, 4 Pb 3.05, 4 Ca 3.05
3 Pb 0.5000 0.5000 0.0000 [1 per cell]  4 Ca 2.83, 8 Re 3.05

Computed properties:
Total energy (eV per atom): -7.26
DOS(E_F) (states/eV/atom): 1.034


# Sc2CdP

Crystalline Sc2CdP at its relaxed geometry (GGA-PBEsol, the Alexandria database).

Cell lengths 3.3797, 3.3797, 6.4968 Å; angles 90.00, 90.00, 90.00 degrees
Closest atoms and distances in Å follow each position.
Space group P4/mmm (No. 123)
Unique sites:
1 Sc 0.0000 0.0000 0.2161 [2 per cell]  4 P 2.77, 1 Sc 2.81, 4 Cd 3.02
2 Cd 0.5000 0.5000 0.5000 [1 per cell]  8 Sc 3.02, 2 P 3.25, 4 Cd 3.38
3 P 0.5000 0.5000 0.0000 [1 per cell]  8 Sc 2.77

Computed properties:
Polymorph energy (0 for the lowest one) (meV per atom): 119.0
DOS(E_F) (states/eV/atom): 0.938


# RbCdPCl2

Crystalline RbCdPCl2 at its relaxed geometry (GGA-PBEsol, the Alexandria database).

Cell lengths 5.8863, 5.8863, 6.2121 Å; angles 90.00, 90.00, 90.00 degrees
Closest atoms and distances in Å follow each position.
Space group P4/mmm (No. 123)
Unique sites:
1 Rb 0.0000 0.0000 0.0000 [1 per cell]  4 Cl 2.94, 2 P 3.11
2 Cd 0.5000 0.5000 0.5000 [1 per cell]  4 P 4.16, 8 Cl 4.28
3 P 0.0000 0.0000 0.5000 [1 per cell]  2 Rb 3.11
4 Cl 0.0000 0.5000 0.0000 [2 per cell]  2 Rb 2.94

Computed properties:
DOS(E_F) (states/eV/atom): 1.095
Raw formation energy (eV per atom): 0.427


# CdRe2Ir

Crystalline CdRe2Ir at its relaxed geometry (GGA-PBEsol, the Alexandria database).

Cell lengths 2.7577, 3.9131, 5.7266 Å; angles 90.00, 90.00, 90.00 degrees
Closest atoms and distances in Å follow each position.
Space group Pmm2 (No. 25)
Unique sites:
1 Cd 0.0000 0.0000 0.0000 [1 per cell]  2 Cd 2.76, 4 Ir 2.81, 6 Re 2.84-2.90
2 Re 0.0000 0.0000 0.5045 [1 per cell]  6 Re 2.68-2.76, 4 Ir 2.78, 2 Cd 2.84-2.89
3 Re 0.5000 0.5000 0.7151 [1 per cell]  1 Ir 2.62, 6 Re 2.68-2.76, 4 Cd 2.90
4 Ir 0.5000 0.5000 0.2575 [1 per cell]  5 Re 2.62-2.78, 2 Ir 2.76, 4 Cd 2.81

Computed properties:
Total energy (eV per atom): -9.11
DOS(E_F) (states/eV/atom): 0.898


# Mg5Zr

Crystalline Mg5Zr at its relaxed geometry (GGA-PBEsol, the Alexandria database).

Cell lengths 4.4736, 12.8126, 4.5799 Å; angles 90.00, 90.00, 90.00 degrees
Closest atoms and distances in Å follow each position.
Space group Cmmm (No. 65)
Unique sites:
1 Mg 0.0000 0.0000 0.0000 [2 per cell]  8 Mg 3.04-3.15, 4 Zr 3.20
2 Mg 0.0000 0.1694 0.5000 [4 per cell]  10 Mg 3.04-3.20, 2 Zr 3.12
3 Mg 0.0000 0.3395 0.0000 [4 per cell]  10 Mg 3.04-3.20, 2 Zr 3.08
4 Zr 0.0000 0.5000 0.5000 [2 per cell]  12 Mg 3.08-3.20

Computed properties:
Total energy (eV per atom): -2.90
DOS(E_F) (states/eV/atom): 0.663


# CaLaSc2

Crystalline CaLaSc2 at its relaxed geometry (GGA-PBEsol, the Alexandria database).

Cell lengths 3.9173, 5.5056, 10.8349 Å; angles 90.00, 90.00, 90.00 degrees
Closest atoms and distances in Å follow each position.
Space group Immm (No. 71)
Unique sites:
1 Ca 0.0000 0.0000 0.0000 [2 per cell]  4 Sc 3.30, 4 La 3.38
2 La 0.0000 0.0000 0.5000 [2 per cell]  4 Ca 3.38, 4 Sc 3.39
3 Sc 0.0000 0.5000 0.2549 [4 per cell]  2 Ca 3.30, 4 Sc 3.38, 2 La 3.39

Computed properties:
Polymorph energy (0 for the lowest one) (meV per atom): 53.4
DOS(E_F) (states/eV/atom): 1.776


How do the records compare in volume? In the order shown, they have 18.49, 18.55, 43.05, 15.45, 21.88, 29.21 A^3/atom.